Entry 1
! ZrOs3 (PBE, optimized geometry); values from VASP
! Space-group type: P-6m2 (187)
! Calculated volume in Å³/f.u.: 64
! Size of the total moment in μB per cell: 0.00
&SYSTEM
  ibrav = 0, nat = 4, ntyp = 2
/
ATOMIC_SPECIES
Zr 91.22 Zr.upf
Os 190.23 Os.upf
CELL_PARAMETERS angstrom
2.800 0.000 0.000
-1.400 2.424 0.000
0.000 0.000 9.400
ATOMIC_POSITIONS angstrom
Zr 0.000 0.000 0.000
Os 0.000 0.000 4.700
Os 1.400 0.808 2.581
Os 1.400 0.808 6.819

Entry 2
! ZrOs3 (PBE, optimized geometry); values from VASP
! Space-group type: I4/mmm (139)
! Calculated volume in Å³/f.u.: 64
! Size of the total moment in μB per cell: 0.00
&SYSTEM
  ibrav = 0, nat = 8, ntyp = 2
/
ATOMIC_SPECIES
Zr 91.22 Zr.upf
Os 190.23 Os.upf
CELL_PARAMETERS angstrom
3.976 0.000 0.000
0.000 3.976 0.000
0.000 0.000 8.061
ATOMIC_POSITIONS angstrom
Zr 0.000 0.000 0.000
Zr 1.988 1.988 4.030
Os 0.000 0.000 4.030
Os 0.000 1.988 2.015
Os 0.000 1.988 6.046
Os 1.988 0.000 2.015
Os 1.988 0.000 6.046
Os 1.988 1.988 0.000

Last place for stability: entry 1

Entry 1
! ZrOs3 (PBE, optimized geometry); values from VASP
! Space-group type: Cmmm (65)
! Calculated volume in Å³/f.u.: 63
! Size of the total moment in μB per cell: 0.00
&SYSTEM
  ibrav = 0, nat = 8, ntyp = 2
/
ATOMIC_SPECIES
Zr 91.22 Zr.upf
Os 190.23 Os.upf
CELL_PARAMETERS angstrom
5.622 0.000 0.000
0.000 7.907 0.000
0.000 0.000 2.843
ATOMIC_POSITIONS angstrom
Zr 0.000 0.000 0.000
Zr 2.811 3.953 0.000
Os 0.000 3.953 0.000
Os 1.405 1.977 1.422
Os 1.405 5.930 1.422
Os 2.811 0.000 0.000
Os 4.216 1.977 1.422
Os 4.216 5.930 1.422

Entry 2
! ZrOs3 (PBE, optimized geometry); values from VASP
! Space-group type: Pmmn (59)
! Calculated volume in Å³/f.u.: 65
! Size of the total moment in μB per cell: 0.00
&SYSTEM
  ibrav = 0, nat = 8, ntyp = 2
/
ATOMIC_SPECIES
Zr 91.22 Zr.upf
Os 190.23 Os.upf
CELL_PARAMETERS angstrom
4.484 0.000 0.000
0.000 5.588 0.000
0.000 0.000 5.151
ATOMIC_POSITIONS angstrom
Zr 1.121 1.397 0.638
Zr 3.363 4.191 4.513
Os 1.121 2.845 3.300
Os 1.121 4.191 1.020
Os 1.121 5.537 3.300
Os 3.363 0.051 1.851
Os 3.363 1.397 4.131
Os 3.363 2.743 1.851

Last place for stability: entry 1

Entry 1
! ZrOs4 (PBE, optimized geometry); values from VASP
! Space-group type: I4/m (87)
! Calculated volume in Å³/f.u.: 79
! Size of the total moment in μB per cell: 0.00
&SYSTEM
  ibrav = 0, nat = 10, ntyp = 2
/
ATOMIC_SPECIES
Zr 91.22 Zr.upf
Os 190.23 Os.upf
CELL_PARAMETERS angstrom
6.337 0.000 0.000
0.000 6.337 0.000
0.000 0.000 3.936
ATOMIC_POSITIONS angstrom
Zr 0.000 0.000 0.000
Zr 3.169 3.169 1.968
Os 0.591 4.345 1.968
Os 1.176 2.578 0.000
Os 1.993 0.591 1.968
Os 2.578 5.161 0.000
Os 3.759 1.176 0.000
Os 4.345 5.747 1.968
Os 5.161 3.759 0.000
Os 5.747 1.993 1.968

Entry 2
! ZrOs4 (PBE, optimized geometry); values from VASP
! Space-group type: Im-3m (229)
! Calculated volume in Å³/f.u.: 98
! Size of the total moment in μB per cell: 0.01
&SYSTEM
  ibrav = 0, nat = 10, ntyp = 2
/
ATOMIC_SPECIES
Zr 91.22 Zr.upf
Os 190.23 Os.upf
CELL_PARAMETERS angstrom
5.813 0.000 0.000
0.000 5.813 0.000
0.000 0.000 5.813
ATOMIC_POSITIONS angstrom
Zr 0.000 0.000 0.000
Zr 2.907 2.907 2.907
Os 1.453 1.453 1.453
Os 1.453 1.453 4.360
Os 1.453 4.360 1.453
Os 1.453 4.360 4.360
Os 4.360 1.453 1.453
Os 4.360 1.453 4.360
Os 4.360 4.360 1.453
Os 4.360 4.360 4.360

Last place for stability: entry 2

Entry 1
! ZrOs4 (PBE, optimized geometry); values from VASP
! Space-group type: Pm-3m (221)
! Calculated volume in Å³/f.u.: 104
! Size of the total moment in μB per cell: 1.20
&SYSTEM
  ibrav = 0, nat = 5, ntyp = 2
/
ATOMIC_SPECIES
Zr 91.22 Zr.upf
Os 190.23 Os.upf
CELL_PARAMETERS angstrom
4.699 0.000 0.000
0.000 4.699 0.000
0.000 0.000 4.699
ATOMIC_POSITIONS angstrom
Zr 0.000 0.000 0.000
Os 0.000 0.000 2.349
Os 0.000 2.349 0.000
Os 2.349 0.000 0.000
Os 2.349 2.349 2.349

Entry 2
! ZrOs4 (PBE, optimized geometry); values from VASP
! Space-group type: I4/mmm (139)
! Calculated volume in Å³/f.u.: 88
! Size of the total moment in μB per cell: 0.00
&SYSTEM
  ibrav = 0, nat = 10, ntyp = 2
/
ATOMIC_SPECIES
Zr 91.22 Zr.upf
Os 190.23 Os.upf
CELL_PARAMETERS angstrom
3.986 0.000 0.000
0.000 3.986 0.000
0.000 0.000 11.052
ATOMIC_POSITIONS angstrom
Zr 0.000 0.000 0.000
Zr 1.993 1.993 5.526
Os 0.000 0.000 4.354
Os 0.000 0.000 6.698
Os 0.000 1.993 2.763
Os 0.000 1.993 8.289
Os 1.993 0.000 2.763
Os 1.993 0.000 8.289
Os 1.993 1.993 1.172
Os 1.993 1.993 9.880

Last place for stability: entry 1

Entry 1
! Zr4Os5 (PBE, optimized geometry); values from VASP
! Space-group type: P6_3/mcm (193)
! Calculated volume in Å³/f.u.: 158
! Size of the total moment in μB per cell: 0.00
&SYSTEM
  ibrav = 0, nat = 18, ntyp = 2
/
ATOMIC_SPECIES
Zr 91.22 Zr.upf
Os 190.23 Os.upf
CELL_PARAMETERS angstrom
8.114 0.000 0.000
-4.057 7.027 0.000
0.000 0.000 5.555
ATOMIC_POSITIONS angstrom
Zr 0.000 0.000 0.000
Zr 0.000 0.000 2.777
Zr -1.498 2.594 1.389
Zr -2.559 4.433 4.166
Zr 2.995 0.000 1.389
Zr 1.498 2.594 4.166
Zr 5.118 0.000 4.166
Zr 2.559 4.433 1.389
Os -1.251 2.167 4.166
Os -2.805 4.859 1.389
Os 2.503 0.000 4.166
Os 1.251 2.167 1.389
Os 0.000 4.684 0.000
Os 0.000 4.684 2.777
Os 4.057 2.342 0.000
Os 4.057 2.342 2.777
Os 5.611 0.000 1.389
Os 2.805 4.859 4.166

Entry 2
! Zr4Os5 (PBE, optimized geometry); values from VASP
! Space-group type: I4/mmm (139)
! Calculated volume in Å³/f.u.: 162
! Size of the total moment in μB per cell: 0.00
&SYSTEM
  ibrav = 0, nat = 9, ntyp = 2
/
ATOMIC_SPECIES
Zr 91.22 Zr.upf
Os 190.23 Os.upf
CELL_PARAMETERS angstrom
-4.442 4.442 2.052
4.442 -4.442 2.052
4.442 4.442 -2.052
ATOMIC_POSITIONS angstrom
Zr 2.628 0.000 0.000
Zr 6.255 0.000 0.000
Zr 0.000 2.628 0.000
Zr 0.000 6.255 0.000
Os 0.000 0.000 0.000
Os 3.024 3.024 0.000
Os 1.418 -1.418 2.052
Os -1.418 1.418 2.052
Os 1.418 1.418 2.052

Last place for stability: entry 1

Entry 1
! P (PBE, optimized geometry); values from VASP
! Space-group type: Im-3m (229)
! Calculated volume in Å³/f.u.: 57
! Size of the total moment in μB per cell: 0.00
&SYSTEM
  ibrav = 0, nat = 16, ntyp = 1
/
ATOMIC_SPECIES
P 30.97 P.upf
CELL_PARAMETERS angstrom
9.695 0.000 0.000
0.000 9.695 0.000
0.000 0.000 9.695
ATOMIC_POSITIONS angstrom
P 1.148 1.148 1.148
P 1.148 1.148 8.547
P 1.148 8.547 1.148
P 1.148 8.547 8.547
P 3.699 3.699 3.699
P 3.699 3.699 5.996
P 3.699 5.996 3.699
P 3.699 5.996 5.996
P 5.996 3.699 3.699
P 5.996 3.699 5.996
P 5.996 5.996 3.699
P 5.996 5.996 5.996
P 8.547 1.148 1.148
P 8.547 1.148 8.547
P 8.547 8.547 1.148
P 8.547 8.547 8.547

Entry 2
! P (PBE, optimized geometry); values from VASP
! Space-group type: Pm (6)
! Calculated volume in Å³/f.u.: 27
! Size of the total moment in μB per cell: 0.00
&SYSTEM
  ibrav = 0, nat = 10, ntyp = 1
/
ATOMIC_SPECIES
P 30.97 P.upf
CELL_PARAMETERS angstrom
5.621 0.000 0.000
0.000 7.717 0.000
-1.572 0.000 6.140
ATOMIC_POSITIONS angstrom
P 0.000 0.000 0.000
P -0.053 1.146 3.296
P -0.053 6.571 3.296
P 2.107 1.731 3.478
P 2.107 5.986 3.478
P 2.756 1.127 1.441
P 2.756 6.589 1.441
P 2.194 0.000 4.862
P 4.912 1.719 1.260
P 4.912 5.998 1.260

Last place for stability: entry 1